(1)
Below is TbScFe2Si2C after structural relaxation, with properties calculated at the GGA-PBE level.

DFT total energy   -7.476 eV per atom

extended XYZ file:
```
7
Lattice="5.2055 -1.9310 0.0000 5.2055 1.9310 0.0000 -4.1907 0.0000 5.1100" Properties=species:S:1:pos:R:3 pbc="T T T"
Tb 0.0000 0.0000 0.0000
Sc -1.5171 0.0000 3.3495
Fe 1.5540 0.0000 2.6682
Fe 7.3866 0.0000 0.7116
Si 3.2588 0.0000 1.1551
Si 5.6335 0.0000 2.2354
C 2.4479 0.0000 4.2083
```

(2)
Below is Ni2Pd3S4 after structural relaxation, with properties calculated at the GGA-PBE level.

DFT total energy   -4.945 eV per atom

extended XYZ file:
```
9
Lattice="2.6659 -5.3236 0.0000 2.6659 5.3236 0.0000 -0.5862 0.0000 5.4128" Properties=species:S:1:pos:R:3 pbc="T T T"
Ni 2.6659 3.0477 0.0000
Ni 2.6659 -3.0477 0.0000
Pd -0.2931 0.0000 2.7064
Pd 2.6659 0.0000 0.0000
Pd 2.3728 0.0000 2.7064
S 1.0008 1.6181 4.0134
S 1.0008 -1.6181 4.0134
S 3.7448 1.6181 1.3995
S 3.7448 -1.6181 1.3995
```

(3)
Below is BeCuReOs after structural relaxation, with properties calculated at the GGA-PBE level.

ΔE to the lowest computed polymorph   0.0000 eV per atom
DFT total energy   -7.610 eV per atom

extended XYZ file:
```
4
Lattice="0.0000 2.9478 2.9478 2.9478 0.0000 2.9478 2.9478 2.9478 0.0000" Properties=species:S:1:pos:R:3 pbc="T T T"
Be 0.0000 0.0000 0.0000
Cu 1.4739 1.4739 1.4739
Re 2.9478 2.9478 2.9478
Os 4.4217 4.4217 4.4217
```

(4)
Below is NdNiSn2Pt after structural relaxation, with properties calculated at the GGA-PBE level.

DFT total energy   -5.570 eV per atom

extended XYZ file:
```
10
Lattice="4.5354 0.0000 0.0000 0.0000 4.5354 0.0000 0.0000 0.0000 10.3122" Properties=species:S:1:pos:R:3 pbc="T T T"
Nd 1.1339 1.1339 2.5277
Nd 3.4016 3.4016 7.7845
Ni 1.1339 1.1339 6.3624
Ni 3.4016 3.4016 3.9498
Sn 1.1339 1.1339 8.8349
Sn 1.1339 3.4016 5.1561
Sn 3.4016 1.1339 5.1561
Sn 3.4016 3.4016 1.4774
Pt 1.1339 3.4016 0.0000
Pt 3.4016 1.1339 0.0000
```